1.
KTc2W (PBE, relaxed); E_form = 1.403 eV per atom; offset from the most stable computed form = 689 meV/atom
1.0
0.000 3.243 3.243
3.243 0.000 3.243
3.243 3.243 0.000
K Tc W
1 2 1
Direct
0.000 0.000 0.000
0.250 0.250 0.250
0.750 0.750 0.750
0.500 0.500 0.500


2.
KTc2W (PBE, relaxed); E_form = 0.843 eV per atom; offset from the most stable computed form = 129 meV/atom
1.0
2.859 0.000 0.000
0.000 2.859 0.000
0.000 0.000 9.575
K Tc W
1 2 1
Direct
0.500 0.500 0.750
0.000 0.000 0.061
0.000 0.000 0.439
0.500 0.500 0.250


3.
KTcW (PBE, relaxed); E_form = 0.593 eV per atom; offset from the most stable computed form = 58 meV/atom
1.0
3.022 0.000 0.003
0.000 4.354 -0.001
-0.725 -2.162 12.573
K Tc W
2 2 2
Direct
0.071 0.298 0.291
0.564 0.968 0.623
0.036 0.090 0.872
0.606 0.175 0.042
0.485 0.586 0.864
0.157 0.678 0.049


4.
KTc2W (PBE, relaxed); E_form = 0.973 eV per atom; offset from the most stable computed form = 260 meV/atom
1.0
-0.986 3.981 -1.258
-3.476 2.463 -0.502
0.298 2.965 6.938
K Tc W
1 2 1
Direct
0.250 0.250 0.250
0.024 0.024 0.902
0.476 0.476 0.598
0.750 0.750 0.750


5.
KTc3W (PBE, relaxed); E_form = 3.129 eV per atom; offset from the most stable computed form = 1449 meV/atom
1.0
4.407 0.000 0.000
0.000 4.407 0.000
0.000 0.000 4.407
K Tc W
1 3 1
Direct
0.000 0.000 0.000
0.000 0.500 0.000
0.000 0.000 0.500
0.500 0.000 0.000
0.500 0.500 0.500


6.
KYTc2 (PBE, relaxed); E_form = 0.992 eV per atom; offset from the most stable computed form = 562 meV/atom
1.0
2.838 0.000 0.000
0.000 2.838 0.000
0.000 0.000 10.547
K Tc Y
1 2 1
Direct
0.500 0.500 0.750
0.000 0.000 0.027
0.000 0.000 0.473
0.500 0.500 0.250


7.
KYTc2 (PBE, relaxed); E_form = 1.176 eV per atom; offset from the most stable computed form = 746 meV/atom
1.0
-0.295 3.884 0.477
-3.892 -0.361 0.537
0.747 -0.562 5.036
K Tc Y
1 2 1
Direct
0.000 0.500 0.500
0.000 0.000 0.000
0.500 0.500 0.000
0.500 0.000 0.500


8.
KYTc2 (PBE, relaxed); E_form = 0.498 eV per atom; offset from the most stable computed form = 68 meV/atom
1.0
3.429 0.000 0.000
0.000 3.429 0.000
0.000 0.000 9.342
K Tc Y
1 2 1
Direct
0.500 0.500 0.805
0.000 0.000 0.111
0.500 0.500 0.177
0.000 0.000 0.408


9.
KYTc2 (PBE, relaxed); E_form = 0.739 eV per atom; offset from the most stable computed form = 309 meV/atom
1.0
-3.804 0.262 0.726
-0.548 -3.488 -1.613
1.062 -3.286 6.746
K Tc Y
1 2 1
Direct
0.500 0.500 0.750
0.000 0.000 0.106
0.000 0.000 0.394
0.500 0.500 0.250


10.
KY4Tc (PBE, relaxed); E_form = 1.015 eV per atom
1.0
0.000 4.606 4.606
4.606 0.000 4.606
4.606 4.606 0.000
K Y Tc
1 4 1
Direct
0.750 0.750 0.750
0.883 0.372 0.372
0.372 0.372 0.883
0.372 0.883 0.372
0.372 0.372 0.372
0.000 0.000 0.000


11.
KYTc (PBE, relaxed); E_form = 0.824 eV per atom; offset from the most stable computed form = 70 meV/atom
1.0
3.450 0.000 0.000
-1.725 2.988 0.000
0.000 0.000 8.462
K Tc Y
1 1 1
Direct
0.000 0.000 0.048
0.667 0.333 0.365
0.333 0.667 0.587


12.
KYTc2 (PBE, relaxed); E_form = 0.930 eV per atom; offset from the most stable computed form = 500 meV/atom
1.0
-2.507 1.264 0.730
-0.363 -2.870 -0.222
2.421 -1.097 10.211
K Tc Y
1 2 1
Direct
0.500 0.500 0.750
0.000 0.000 0.027
0.000 0.000 0.473
0.500 0.500 0.250


Q: Which final energy values were calculated for the entries above? A: -7.2931 -7.8531 -7.5458 -7.7227 -5.9009 -6.0810 -5.8974 -6.5752 -6.3347 -5.2046 -5.1517 -6.1433, in eV/atom.